# FeMoI3, relaxed, DFT PBE
data_FeMoI3
_cell_length_a 5.5116
_cell_length_b 5.5116
_cell_length_c 5.5116
_cell_angle_alpha 90.00
_cell_angle_beta 90.00
_cell_angle_gamma 90.00
_space_group_name_H-M_alt 'P m -3 m'
_space_group_IT_number 221
_space_group_name_Hall '-P 4 2 3'
loop_
_atom_site_label
_atom_site_type_symbol
_atom_site_fract_x
_atom_site_fract_y
_atom_site_fract_z
_atom_site_occupancy
Fe1 Fe 0.0000 0.0000 0.0000 1
Mo1 Mo 0.5000 0.5000 0.5000 1
I1 I 0.0000 0.0000 0.5000 1
# energy relative to the elements, uncorrected	0.95	eV per atom
# volume	167.4	Å³ per cell



# Ac2NiGeRh6, relaxed, DFT PBE
data_Ac2NiGeRh6
_cell_length_a 11.3514
_cell_length_b 6.5978
_cell_length_c 6.5881
_cell_angle_alpha 90.00
_cell_angle_beta 124.92
_cell_angle_gamma 90.00
_space_group_name_H-M_alt 'C 1 2/m 1'
_space_group_IT_number 12
_space_group_name_Hall '-C 2y'
loop_
_atom_site_label
_atom_site_type_symbol
_atom_site_fract_x
_atom_site_fract_y
_atom_site_fract_z
_atom_site_occupancy
Ac1 Ac 0.2148 0.0000 0.2846 1
Ni1 Ni 0.0000 0.5000 0.0000 1
Ge1 Ge 0.0000 0.0000 0.5000 1
Rh1 Rh 0.0472 0.2964 0.7477 1
Rh2 Rh 0.2482 0.0000 0.8461 1
# volume	404.6	Å³ per cell
# energy relative to the elements	-0.32	eV per atom



# TlGeCl3, relaxed, DFT PBE
data_TlGeCl3
_cell_length_a 6.9128
_cell_length_b 17.4439
_cell_length_c 8.3070
_cell_angle_alpha 90.00
_cell_angle_beta 90.00
_cell_angle_gamma 90.00
_space_group_name_H-M_alt 'C m c m'
_space_group_IT_number 63
_space_group_name_Hall '-C 2c 2'
loop_
_atom_site_label
_atom_site_type_symbol
_atom_site_fract_x
_atom_site_fract_y
_atom_site_fract_z
_atom_site_occupancy
Tl1 Tl 0.0000 0.1107 0.2500 1
Ge1 Ge 0.0000 0.3879 0.2500 1
Cl1 Cl 0.0000 0.0000 0.0000 1
Cl2 Cl 0.2428 0.3048 0.2500 1
# energy relative to the elements, uncorrected	-0.69	eV per atom
# volume	1001.7	Å³ per cell



Q: Look up the volume of the second one.
A: 404.6 Å³ per cell